A plane-wave DFT calculation with PBE was carried out for an optimized crystal structure of CaPm2Zn6.

a = 7.884 Å, b = 7.884 Å, c = 3.606 Å
α = 90.00°, β = 90.00°, γ = 120.00°
Fractional coordinates of all 9 atoms:
1 Ca 0.000 0.000 0.000
2 Pm 0.333 0.667 0.000
3 Pm 0.667 0.333 0.000
4 Zn 0.000 0.332 0.500
5 Zn 0.000 0.668 0.500
6 Zn 0.332 0.000 0.500
7 Zn 0.332 0.332 0.500
8 Zn 0.668 0.000 0.500
9 Zn 0.668 0.668 0.500

As for the space group: P6/mmm, No. 191. The formation energy is -31.7 kJ per mole of atoms.